Entry 1:
# Cr3SbSe

A relaxed Cr3SbSe crystal (PBE, the Alexandria database).

Computed properties:
The value obtained for the final energy is -33.6 eV for the cell shown. The calculation puts the density of states at the Fermi level at 0.9229 states/eV/atom. Its formation energy (no corrections) is 55.8 kJ per mole of atoms. As for the energy relative to the lowest polymorph listed for this composition: 0.0000 eV/atom.

```
Cr3SbSe
1.0
-3.9254 -1.7473 2.2125
-1.6198 -1.7064 -4.2215
2.3075 -4.1704 0.8003
Sb Se Cr
1 1 3
Direct
0.5000 0.5000 0.5000 Sb
0.0000 0.0000 0.0000 Se
0.0000 0.5000 0.0000 Cr
0.0000 0.0000 0.5000 Cr
0.5000 0.0000 0.0000 Cr
```

***

Entry 2:
# Cr2SbSe

A relaxed Cr2SbSe crystal (PBE, the Alexandria database).

Computed properties:
The value obtained for the final energy is -26.0 eV for the cell shown. The calculation puts the density of states at the Fermi level at 0.5401 states/eV/atom. Its formation energy (no corrections) is 20.2 kJ per mole of atoms. As for the energy relative to the lowest polymorph listed for this composition: 0.2243 eV/atom.

```
Cr2SbSe
1.0
3.3005 0.0000 0.0000
0.0000 3.3003 0.0372
0.0000 3.2186 7.1734
Cr Sb Se
2 1 1
Direct
0.0000 0.0270 0.9723 Cr
0.0000 0.4730 0.5277 Cr
0.5000 0.2500 0.2500 Sb
0.5000 0.7500 0.7500 Se
```

***

Entry 3:
# CrSbSe

A relaxed CrSbSe crystal (PBE, the Alexandria database).

Computed properties:
The value obtained for the final energy is -17.0 eV for the cell shown. The calculation puts the density of states at the Fermi level at 0.7676 states/eV/atom. Its formation energy (no corrections) is 7.7 kJ per mole of atoms.

```
CrSbSe
1.0
4.5326 0.0000 0.0000
2.2663 3.9254 0.0000
2.2663 1.3085 3.7009
Cr Sb Se
1 1 1
Direct
0.7500 0.7500 0.7500 Cr
0.0000 0.0000 0.0000 Sb
0.5000 0.5000 0.5000 Se
```

***

Entry 4:
# CrSb2Se

A relaxed CrSb2Se crystal (PBE, the Alexandria database).

Computed properties:
The value obtained for the final energy is -20.9 eV for the cell shown. The calculation puts the density of states at the Fermi level at 0.6828 states/eV/atom. Its formation energy (no corrections) is 10.4 kJ per mole of atoms. As for the energy relative to the lowest polymorph listed for this composition: 0.0752 eV/atom.

```
CrSb2Se
1.0
6.8287 0.0388 -0.0010
4.3760 5.2425 0.0010
-5.3001 -3.2818 2.7877
Cr Sb Se
1 2 1
Direct
0.7278 0.2278 0.5000 Cr
0.9249 0.9249 0.0000 Sb
0.2624 0.7624 0.5000 Sb
0.5849 0.5849 0.0000 Se
```